## Gd3AsO7 (PBE)

Data for a relaxed structure of Gd3AsO7.

Cell lengths 7.374, 10.541, 7.431 Å; angles 90.00, 90.00, 90.00 degrees
Positions (direct):
1 Gd 0.008 0.250 0.215
2 Gd 0.245 0.025 0.543
3 Gd 0.245 0.475 0.543
4 Gd 0.255 0.525 0.043
5 Gd 0.255 0.975 0.043
6 Gd 0.492 0.750 0.715
7 Gd 0.508 0.250 0.285
8 Gd 0.745 0.025 0.957
9 Gd 0.745 0.475 0.957
10 Gd 0.755 0.525 0.457
11 Gd 0.755 0.975 0.457
12 Gd 0.992 0.750 0.785
13 As 0.003 0.750 0.249
14 As 0.497 0.250 0.749
15 As 0.503 0.750 0.251
16 As 0.997 0.250 0.751
17 O 0.032 0.129 0.935
18 O 0.032 0.371 0.935
19 O 0.038 0.623 0.415
20 O 0.038 0.877 0.415
21 O 0.247 0.250 0.672
22 O 0.247 0.617 0.769
23 O 0.247 0.883 0.769
24 O 0.253 0.117 0.269
25 O 0.253 0.383 0.269
26 O 0.253 0.750 0.172
27 O 0.462 0.123 0.915
28 O 0.462 0.377 0.915
29 O 0.468 0.629 0.435
30 O 0.468 0.871 0.435
31 O 0.532 0.129 0.565
32 O 0.532 0.371 0.565
33 O 0.538 0.623 0.085
34 O 0.538 0.877 0.085
35 O 0.747 0.250 0.828
36 O 0.747 0.617 0.731
37 O 0.747 0.883 0.731
38 O 0.753 0.117 0.231
39 O 0.753 0.383 0.231
40 O 0.753 0.750 0.328
41 O 0.962 0.123 0.585
42 O 0.962 0.377 0.585
43 O 0.968 0.629 0.065
44 O 0.968 0.871 0.065

Computed properties:
The polymorph energy (0 for the lowest one) is 0.0 meV per atom. The calculation puts the energy relative to the elements, uncorrected at -2.823 eV/atom. The space group is Pnma, No. 62. The value obtained for the mass density is 7575 kg/m3. The total energy is -10.241 eV/atom.



## BeCr2Te (PBE)

Data for a relaxed structure of BeCr2Te.

Cell lengths 3.108, 3.108, 5.554 Å; angles 90.00, 90.00, 90.00 degrees
Positions (direct):
1 Be 0.000 0.000 0.000
2 Cr 0.000 0.000 0.418
3 Cr 0.500 0.500 0.163
4 Te 0.500 0.500 0.687

Computed properties:
The polymorph energy (0 for the lowest one) is 0.0 meV per atom. The calculation puts the energy relative to the elements, uncorrected at 0.327 eV/atom. The space group is P4mm, No. 99. The value obtained for the mass density is 7448 kg/m3. The total energy is -6.202 eV/atom.



## La2Tb3Pr6Mg (PBE)

Data for a relaxed structure of La2Tb3Pr6Mg.

Cell lengths 6.319, 6.319, 12.047 Å; angles 95.07, 95.07, 120.05 degrees
Positions (direct):
1 La 0.167 0.833 0.000
2 La 0.833 0.167 0.000
3 Tb 0.000 0.000 0.500
4 Tb 0.334 0.666 0.500
5 Tb 0.666 0.334 0.500
6 Pr 0.087 0.417 0.747
7 Pr 0.254 0.254 0.254
8 Pr 0.417 0.087 0.747
9 Pr 0.583 0.913 0.253
10 Pr 0.746 0.746 0.746
11 Pr 0.913 0.583 0.253
12 Mg 0.500 0.500 0.000

Computed properties:
For the formation energy, the calculation gives 0.0071 eV per atom. The space group is C2/m, No. 12. The value obtained for the mass density is 6582 kg/m3. The total energy is -4.494 eV/atom.



## AcPrGaIr (PBE)

Data for a relaxed structure of AcPrGaIr.

Cell lengths 4.455, 6.311, 6.311 Å; angles 38.42, 90.00, 90.00 degrees
Positions (direct):
1 Ac 0.000 0.000 0.000
2 Pr 0.500 0.728 0.728
3 Ga 0.000 0.290 0.290
4 Ir 0.500 0.409 0.409

Computed properties:
For the formation energy, the calculation gives -0.6032 eV per atom. The polymorph energy (0 for the lowest one) is 0.0 meV per atom. The space group is Amm2, No. 38. The value obtained for the mass density is 9484 kg/m3. The total energy is -5.797 eV/atom.



## Rb3NbF (PBE)

Data for a relaxed structure of Rb3NbF.

Cell lengths 5.798, 5.798, 5.798 Å; angles 90.00, 90.00, 90.00 degrees
Positions (direct):
1 Rb 0.000 0.000 0.500
2 Rb 0.000 0.500 0.000
3 Rb 0.500 0.000 0.000
4 Nb 0.500 0.500 0.500
5 F 0.000 0.000 0.000

Computed properties:
The polymorph energy (0 for the lowest one) is 0.0 meV per atom. The calculation puts the energy relative to the elements, uncorrected at -0.120 eV/atom. The space group is Pm-3m, No. 221. The value obtained for the mass density is 3137 kg/m3. The total energy is -3.089 eV/atom.



## InRe2Mo (PBE)

Data for a relaxed structure of InRe2Mo.

Cell lengths 9.396, 9.396, 9.396 Å; angles 17.59, 17.59, 17.59 degrees
Positions (direct):
1 In 0.000 0.000 0.000
2 Re 0.245 0.245 0.245
3 Re 0.755 0.755 0.755
4 Mo 0.500 0.500 0.500

Computed properties:
For the formation energy, the calculation gives 0.3705 eV per atom. The space group is R-3m, No. 166. The value obtained for the mass density is 14651 kg/m3. The total energy is -9.246 eV/atom.



## MnAlSe2 (PBE)

Data for a relaxed structure of MnAlSe2.

Cell lengths 3.838, 3.838, 5.413 Å; angles 90.00, 90.00, 90.00 degrees
Positions (direct):
1 Mn 0.000 0.000 0.000
2 Al 0.500 0.500 0.500
3 Se 0.000 0.000 0.500
4 Se 0.500 0.500 0.000

Computed properties:
The calculation puts the energy relative to the elements, uncorrected at -0.397 eV/atom. The space group is P4/mmm, No. 123. The value obtained for the mass density is 4995 kg/m3. The total energy is -5.367 eV/atom.



## Se2SN (PBE)

Data for a relaxed structure of Se2SN.

Cell lengths 7.343, 7.343, 7.343 Å; angles 30.87, 30.87, 30.87 degrees
Positions (direct):
1 Se 0.083 0.083 0.083
2 Se 0.917 0.917 0.917
3 S 0.500 0.500 0.500
4 N 0.000 0.000 0.000

Computed properties:
The polymorph energy (0 for the lowest one) is 0.0 meV per atom. The calculation puts the energy relative to the elements, uncorrected at 0.810 eV/atom. The space group is R-3m, No. 166. The value obtained for the mass density is 3663 kg/m3. The total energy is -4.046 eV/atom.



## MnCoSb (PBE)

Data for a relaxed structure of MnCoSb.

Cell lengths 3.580, 8.449, 8.449 Å; angles 24.12, 90.00, 90.00 degrees
Positions (direct):
1 Mn 0.000 0.000 0.000
2 Mn 0.000 0.402 0.402
3 Co 0.500 0.506 0.506
4 Co 0.500 0.902 0.902
5 Sb 0.000 0.622 0.622
6 Sb 0.500 0.284 0.284

Computed properties:
The calculation puts the energy relative to the elements, uncorrected at 0.051 eV/atom. The space group is Amm2, No. 38. The value obtained for the mass density is 7493 kg/m3. The total energy is -6.749 eV/atom.



## TbZnGa3Cu (PBE)

Data for a relaxed structure of TbZnGa3Cu.

Cell lengths 7.573, 7.573, 5.756 Å; angles 90.00, 90.00, 137.23 degrees
Positions (direct):
1 Tb 0.190 0.810 0.750
2 Tb 0.810 0.190 0.250
3 Zn 0.155 0.845 0.250
4 Zn 0.845 0.155 0.750
5 Ga 0.231 0.231 0.000
6 Ga 0.231 0.231 0.500
7 Ga 0.364 0.636 0.250
8 Ga 0.636 0.364 0.750
9 Ga 0.769 0.769 0.000
10 Ga 0.769 0.769 0.500
11 Cu 0.391 0.609 0.750
12 Cu 0.609 0.391 0.250

Computed properties:
For the formation energy, the calculation gives -0.1119 eV per atom. The space group is Cmcm, No. 63. The value obtained for the mass density is 7365 kg/m3. The total energy is -3.292 eV/atom.



## Tm4ScCd2 (PBE)

Data for a relaxed structure of Tm4ScCd2.

Cell lengths 8.912, 8.912, 8.912 Å; angles 34.93, 34.93, 34.93 degrees
Positions (direct):
1 Tm 0.130 0.130 0.130
2 Tm 0.262 0.262 0.262
3 Tm 0.738 0.738 0.738
4 Tm 0.870 0.870 0.870
5 Sc 0.500 0.500 0.500
6 Cd 0.384 0.384 0.384
7 Cd 0.616 0.616 0.616

Computed properties:
For the formation energy, the calculation gives 0.1310 eV per atom. The space group is R-3m, No. 166. The value obtained for the mass density is 7577 kg/m3. The total energy is -3.590 eV/atom.



## Sr2Li12Ag3Hg (PBE)

Data for a relaxed structure of Sr2Li12Ag3Hg.

Cell lengths 7.386, 7.386, 7.386 Å; angles 84.66, 84.66, 84.66 degrees
Positions (direct):
1 Sr 0.247 0.247 0.247
2 Sr 0.753 0.753 0.753
3 Li 0.153 0.580 0.580
4 Li 0.188 0.188 0.729
5 Li 0.188 0.729 0.188
6 Li 0.271 0.812 0.812
7 Li 0.420 0.420 0.847
8 Li 0.420 0.847 0.420
9 Li 0.580 0.153 0.580
10 Li 0.580 0.580 0.153
11 Li 0.729 0.188 0.188
12 Li 0.812 0.271 0.812
13 Li 0.812 0.812 0.271
14 Li 0.847 0.420 0.420
15 Ag 0.000 0.000 0.500
16 Ag 0.000 0.500 0.000
17 Ag 0.500 0.000 0.000
18 Hg 0.000 0.000 0.000

Computed properties:
For the formation energy, the calculation gives -0.0637 eV per atom. The space group is R-3m, No. 166. The value obtained for the mass density is 3266 kg/m3. The total energy is -2.018 eV/atom.